(1)
Ca2Y2Hg: optimized geometry, GGA-PBE.

Values from the calculation:
Size of the total moment: 1.0 μB/f.u.
Theoretical density: 4.501 Mg/m³
ΔH_f (0 K): 0.1197 eV per atom

abc: 7.7834 7.7834 5.5855
angles: 90.00 90.00 90.00
Last column: nearest neighbours and their distance in Å.
Sites, in units of the cell vectors:
Y  0.1635  0.6635  0.5000  6 Ca 3.47-3.70, 1 Y 3.60
Y  0.6635  0.8365  0.5000  6 Ca 3.47-3.70, 1 Y 3.60
Y  0.8365  0.3365  0.5000  6 Ca 3.47-3.70, 1 Y 3.60
Y  0.3365  0.1635  0.5000  6 Ca 3.47-3.70, 1 Y 3.60
Ca  0.3512  0.8512  0.0000  2 Hg 2.97, 1 Ca 3.28
Ca  0.8512  0.6488  0.0000  2 Hg 2.97, 1 Ca 3.28
Ca  0.6488  0.1488  0.0000  2 Hg 2.97, 1 Ca 3.28
Ca  0.1488  0.3512  0.0000  2 Hg 2.97, 1 Ca 3.28
Hg  0.0000  0.0000  0.0000  4 Ca 2.97
Hg  0.5000  0.5000  0.0000  4 Ca 2.97


(2)
CaY3Hg12: optimized geometry, GGA-PBE.

Values from the calculation:
Size of the total moment: 0.0 μB/f.u.
Theoretical density: 11.358 Mg/m³
ΔH_f (0 K): -0.3375 eV per atom

abc: 4.5668 4.5668 19.0243
angles: 90.00 90.00 90.00
Last column: nearest neighbours and their distance in Å.
Sites, in units of the cell vectors:
Ca  0.0000  0.0000  0.0000  12 Hg 3.23-3.34
Y  0.0000  0.0000  0.2497  12 Hg 3.23-3.31
Y  0.0000  0.0000  0.5000  12 Hg 3.23-3.28
Y  0.0000  0.0000  0.7503  12 Hg 3.23-3.31
Hg  0.5000  0.5000  0.0000  4 Ca 3.23, 8 Hg 3.34
Hg  0.5000  0.5000  0.2527  4 Y 3.23, 8 Hg 3.27-3.29
Hg  0.5000  0.5000  0.5000  4 Y 3.23, 8 Hg 3.28
Hg  0.5000  0.5000  0.7473  4 Y 3.23, 8 Hg 3.27-3.29
Hg  0.5000  0.0000  0.1279  8 Hg 3.23-3.34, 2 Y 3.25, 2 Ca 3.34
Hg  0.5000  0.0000  0.3761  8 Hg 3.23-3.28, 4 Y 3.28-3.31
Hg  0.5000  0.0000  0.6239  8 Hg 3.23-3.28, 4 Y 3.28-3.31
Hg  0.5000  0.0000  0.8721  8 Hg 3.23-3.34, 2 Y 3.25, 2 Ca 3.34
Hg  0.0000  0.5000  0.1279  8 Hg 3.23-3.34, 2 Y 3.25, 2 Ca 3.34
Hg  0.0000  0.5000  0.3761  8 Hg 3.23-3.28, 4 Y 3.28-3.31
Hg  0.0000  0.5000  0.6239  8 Hg 3.23-3.28, 4 Y 3.28-3.31
Hg  0.0000  0.5000  0.8721  8 Hg 3.23-3.34, 2 Y 3.25, 2 Ca 3.34


(3)
CaY2Hg2: optimized geometry, GGA-PBE.

Values from the calculation:
Size of the total moment: 0.0 μB/f.u.
Theoretical density: 6.763 Mg/m³
ΔH_f (0 K): -0.2345 eV per atom

abc: 4.6800 4.6800 7.6885
angles: 72.28 72.28 90.00
Last column: nearest neighbours and their distance in Å.
Sites, in units of the cell vectors:
Y  0.7500  0.2500  0.5000  4 Hg 3.12, 4 Y 3.31
Y  0.2500  0.7500  0.5000  4 Hg 3.12, 4 Y 3.31
Ca  0.0000  0.0000  0.0000  8 Hg 3.60
Hg  0.3987  0.3987  0.2025  1 Hg 2.81, 4 Y 3.12
Hg  0.6013  0.6013  0.7975  1 Hg 2.81, 4 Y 3.12


(4)
CaY2Hg2: optimized geometry, GGA-PBE.

Values from the calculation:
Size of the total moment: 0.0 μB/f.u.
Theoretical density: 6.387 Mg/m³
ΔH_f (0 K): -0.0623 eV per atom

abc: 4.7198 4.7198 7.9585
angles: 72.75 72.75 90.00
Last column: nearest neighbours and their distance in Å.
Sites, in units of the cell vectors:
Y  0.3807  0.3807  0.2387  4 Hg 3.02
Y  0.6193  0.6193  0.7613  4 Hg 3.02
Ca  0.0000  0.0000  0.0000  8 Y 3.76
Hg  0.7500  0.2500  0.5000  4 Y 3.02, 4 Hg 3.34
Hg  0.2500  0.7500  0.5000  4 Y 3.02, 4 Hg 3.34


(5)
CaY2Hg: optimized geometry, GGA-PBE.

Values from the calculation:
Size of the total moment: 0.0 μB/f.u.
Theoretical density: 5.575 Mg/m³
ΔH_f (0 K): -0.1203 eV per atom

abc: 5.1447 3.7821 6.7190
angles: 72.44 90.00 90.00
Last column: nearest neighbours and their distance in Å.
Sites, in units of the cell vectors:
Y  0.0000  0.9055  0.9710  2 Hg 3.11, 1 Y 3.31
Y  0.0000  0.5945  0.5290  2 Hg 3.11, 1 Y 3.31
Ca  0.5000  0.2500  0.2500  2 Hg 3.32, 8 Y 3.65-3.67
Hg  0.5000  0.7500  0.7500  4 Y 3.11, 2 Ca 3.32


(6)
CaY2Hg: optimized geometry, GGA-PBE.

Values from the calculation:
Size of the total moment: 0.0 μB/f.u.
Theoretical density: 5.667 Mg/m³
ΔH_f (0 K): -0.2291 eV per atom

abc: 6.7897 6.7897 5.5040
angles: 66.12 66.12 32.20
Last column: nearest neighbours and their distance in Å.
Sites, in units of the cell vectors:
Y  0.9616  0.9616  0.0384  2 Hg 3.13, 4 Y 3.46
Y  0.5384  0.5384  0.4616  2 Hg 3.13, 4 Y 3.46
Ca  0.7500  0.7500  0.7500  4 Hg 3.33, 4 Y 3.72
Hg  0.2500  0.2500  0.2500  4 Y 3.13, 4 Ca 3.33


(7)
CaYZnHg: optimized geometry, GGA-PBE.

Values from the calculation:
Size of the total moment: 0.0 μB/f.u.
Theoretical density: 6.505 Mg/m³
ΔH_f (0 K): -0.4203 eV per atom

abc: 3.7043 3.7043 7.3477
angles: 90.00 90.00 90.00
Last column: nearest neighbours and their distance in Å.
Sites, in units of the cell vectors:
Ca  0.0000  0.0000  0.3647  4 Zn 3.24, 4 Hg 3.29, 1 Y 3.53
Y  0.0000  0.0000  0.8448  4 Zn 3.08, 4 Hg 3.20
Zn  0.5000  0.5000  0.6246  4 Y 3.08, 4 Ca 3.24
Hg  0.5000  0.5000  0.0939  4 Y 3.20, 4 Ca 3.29, 1 Zn 3.45


(8)
CaY2ZnHg4: optimized geometry, GGA-PBE.

Values from the calculation:
Size of the total moment: 0.0 μB/f.u.
Theoretical density: 9.245 Mg/m³
ΔH_f (0 K): -0.4031 eV per atom

abc: 5.1434 5.1434 9.0150
angles: 73.43 73.43 60.00
Last column: nearest neighbours and their distance in Å.
Sites, in units of the cell vectors:
Ca  0.0000  0.0000  0.0000  8 Hg 3.14-3.15
Y  0.7565  0.7565  0.7304  8 Hg 3.06-3.32
Y  0.2435  0.2435  0.2696  8 Hg 3.06-3.32
Zn  0.5000  0.5000  0.5000  8 Hg 3.17-3.23
Hg  0.3736  0.3736  0.8791  3 Ca 3.14, 1 Zn 3.23, 4 Y 3.23-3.32
Hg  0.8765  0.8765  0.3706  4 Y 3.06-3.09, 1 Ca 3.15, 3 Zn 3.17
Hg  0.1235  0.1235  0.6294  4 Y 3.06-3.09, 1 Ca 3.15, 3 Zn 3.17
Hg  0.6264  0.6264  0.1209  3 Ca 3.14, 1 Zn 3.23, 4 Y 3.23-3.32


(9)
CaYbHg2: optimized geometry, GGA-PBE.

Values from the calculation:
Size of the total moment: 0.0 μB/f.u.
Theoretical density: 9.565 Mg/m³
ΔH_f (0 K): -0.5888 eV per atom

abc: 5.3230 5.3230 5.3230
angles: 60.00 60.00 60.00
Last column: nearest neighbours and their distance in Å.
Sites, in units of the cell vectors:
Ca  0.2500  0.2500  0.2500  8 Hg 3.26
Yb  0.7500  0.7500  0.7500  8 Hg 3.26
Hg  0.0000  0.0000  0.0000  4 Ca 3.26, 4 Yb 3.26
Hg  0.5000  0.5000  0.5000  4 Ca 3.26, 4 Yb 3.26


(10)
Ca2ZnHg2: optimized geometry, GGA-PBE.

Values from the calculation:
Size of the total moment: 0.0 μB/f.u.
Theoretical density: 6.761 Mg/m³
ΔH_f (0 K): -0.3503 eV per atom

abc: 7.9470 7.9470 4.2528
angles: 90.00 90.00 90.00
Last column: nearest neighbours and their distance in Å.
Sites, in units of the cell vectors:
Zn  0.0000  0.0000  0.0000  4 Hg 3.09
Zn  0.5000  0.5000  0.0000  4 Hg 3.09
Ca  0.1679  0.6679  0.5000  6 Hg 3.06-3.23
Ca  0.6679  0.8321  0.5000  6 Hg 3.06-3.23
Ca  0.8321  0.3321  0.5000  6 Hg 3.06-3.23
Ca  0.3321  0.1679  0.5000  6 Hg 3.06-3.23
Hg  0.3634  0.8634  0.0000  6 Ca 3.06-3.23, 1 Hg 3.07, 2 Zn 3.09
Hg  0.8634  0.6366  0.0000  6 Ca 3.06-3.23, 1 Hg 3.07, 2 Zn 3.09
Hg  0.6366  0.1366  0.0000  6 Ca 3.06-3.23, 1 Hg 3.07, 2 Zn 3.09
Hg  0.1366  0.3634  0.0000  6 Ca 3.06-3.23, 1 Hg 3.07, 2 Zn 3.09


(11)
Ca5Zn4Hg: optimized geometry, GGA-PBE.

Values from the calculation:
Size of the total moment: 0.0 μB/f.u.
Theoretical density: 4.341 Mg/m³
ΔH_f (0 K): -0.2963 eV per atom

abc: 3.6731 3.6731 18.7878
angles: 90.00 90.00 90.00
Last column: nearest neighbours and their distance in Å.
Sites, in units of the cell vectors:
Ca  0.5000  0.5000  0.1050  4 Zn 3.20, 4 Hg 3.26
Ca  0.5000  0.5000  0.3027  8 Zn 3.19
Ca  0.5000  0.5000  0.5000  8 Zn 3.19
Ca  0.5000  0.5000  0.6973  8 Zn 3.19
Ca  0.5000  0.5000  0.8950  4 Zn 3.20, 4 Hg 3.26
Zn  0.0000  0.0000  0.2046  8 Ca 3.19-3.20
Zn  0.0000  0.0000  0.4013  8 Ca 3.19
Zn  0.0000  0.0000  0.5987  8 Ca 3.19
Zn  0.0000  0.0000  0.7954  8 Ca 3.19-3.20
Hg  0.0000  0.0000  0.0000  8 Ca 3.26


(12)
Ca6ZnHg2: optimized geometry, GGA-PBE.

Values from the calculation:
Size of the total moment: 0.0 μB/f.u.
Theoretical density: 4.108 Mg/m³
ΔH_f (0 K): -0.2605 eV per atom

abc: 5.7405 6.8088 8.5654
angles: 79.82 70.42 65.07
Last column: nearest neighbours and their distance in Å.
Sites, in units of the cell vectors:
Ca  0.1662  0.0254  0.6422  1 Zn 3.10, 2 Hg 3.16-3.41
Ca  0.2910  0.2577  0.1604  1 Zn 3.18, 3 Hg 3.18-3.20
Ca  0.7090  0.7423  0.8396  1 Zn 3.18, 3 Hg 3.18-3.20
Ca  0.4430  0.3995  0.7145  3 Hg 3.30-3.69, 2 Zn 3.40, 2 Ca 3.63-3.67
Ca  0.5570  0.6005  0.2855  3 Hg 3.30-3.69, 2 Zn 3.40, 2 Ca 3.63-3.67
Ca  0.8338  0.9746  0.3578  1 Zn 3.10, 2 Hg 3.16-3.41
Zn  0.0000  0.5000  0.5000  8 Ca 3.10-3.40
Hg  0.1200  0.7445  0.0155  1 Hg 3.15, 6 Ca 3.16-3.41
Hg  0.8800  0.2555  0.9845  1 Hg 3.15, 6 Ca 3.16-3.41